Entry 1:
# LiSn2Ru

Crystalline LiSn2Ru at its relaxed geometry (PBE, Alexandria).

```
LiSn2Ru
1.0
3.1667 0.0000 0.0000
0.0000 3.1667 0.0000
0.0000 0.0000 7.9323
Li Sn Ru
1 2 1
direct
0.0000 0.0000 0.0000 Li
0.5000 0.5000 0.2851 Sn
0.5000 0.5000 0.7149 Sn
0.0000 0.0000 0.5000 Ru
```

Computed properties:
Total magnetization, μB per formula unit: 0.000
ΔE_f, eV/atom: -0.157

Entry 2:
# Fe3Co4

Crystalline Fe3Co4 at its relaxed geometry (PBE, Alexandria).

```
Fe3Co4
1.0
2.4796 0.0000 0.0000
-0.8557 6.0946 0.0000
-0.8874 -3.0204 5.2907
Fe Co
3 4
direct
0.0000 0.0000 0.0000 Fe
0.1453 0.5709 0.8545 Fe
0.8547 0.4291 0.1455 Fe
0.2745 0.1450 0.7168 Co
0.4205 0.7161 0.5725 Co
0.5795 0.2839 0.4275 Co
0.7255 0.8550 0.2832 Co
```

Computed properties:
Energy above the lowest structure with this stoichiometry, meV/atom: 49
Total magnetization, μB per formula unit: 15.078
ΔE_f, eV/atom: 0.011

Entry 3:
# LaHo12Sc6

Crystalline LaHo12Sc6 at its relaxed geometry (PBE, Alexandria).

```
LaHo12Sc6
1.0
7.2296 4.1740 3.3299
-7.2296 4.1740 3.3299
0.0000 -8.3480 3.3299
La Ho Sc
1 12 6
direct
0.0000 0.0000 0.0000 La
0.1129 0.5000 0.8871 Ho
0.1129 0.8871 0.5000 Ho
0.1545 0.3818 0.3818 Ho
0.3818 0.1545 0.3818 Ho
0.3818 0.3818 0.1545 Ho
0.5000 0.1129 0.8871 Ho
0.5000 0.8871 0.1129 Ho
0.6182 0.6182 0.8455 Ho
0.6182 0.8455 0.6182 Ho
0.8455 0.6182 0.6182 Ho
0.8871 0.1129 0.5000 Ho
0.8871 0.5000 0.1129 Ho
0.2766 0.6951 0.6951 Sc
0.3049 0.3049 0.7234 Sc
0.3049 0.7234 0.3049 Sc
0.6951 0.2766 0.6951 Sc
0.6951 0.6951 0.2766 Sc
0.7234 0.3049 0.3049 Sc
```

Computed properties:
Energy above the lowest structure with this stoichiometry, meV/atom: 162
Total magnetization, μB per formula unit: 0.001
ΔE_f, eV/atom: 0.411

Entry 4:
# TaBiS4

Crystalline TaBiS4 at its relaxed geometry (PBE, Alexandria).

```
TaBiS4
1.0
7.3449 -1.8389 0.0000
7.3449 1.8389 0.0000
-2.9912 0.0000 6.0623
Ta Bi S
1 1 4
direct
0.0000 0.0000 0.0000 Ta
0.5000 0.5000 0.5000 Bi
0.1122 0.1122 0.8208 S
0.3929 0.3929 0.7528 S
0.6071 0.6071 0.2472 S
0.8878 0.8878 0.1792 S
```

Computed properties:
Raw formation energy, eV per atom: -0.6255
Energy above the lowest structure with this stoichiometry, meV/atom: 0
Total magnetization, μB per formula unit: 0.000

Entry 5:
# Ho5GeTe5

Crystalline Ho5GeTe5 at its relaxed geometry (PBE, Alexandria).

```
Ho5GeTe5
1.0
6.8186 -3.0420 0.0000
6.8186 3.0420 0.0000
-2.7444 0.0000 8.1245
Ho Ge Te
5 1 5
direct
0.0000 0.0000 0.0000 Ho
0.3435 0.3435 0.1596 Ho
0.3442 0.3442 0.6827 Ho
0.6558 0.6558 0.3173 Ho
0.6565 0.6565 0.8404 Ho
0.5000 0.5000 0.0000 Ge
0.1642 0.1642 0.8255 Te
0.1716 0.1716 0.3362 Te
0.5000 0.5000 0.5000 Te
0.8284 0.8284 0.6638 Te
0.8358 0.8358 0.1745 Te
```

Computed properties:
Raw formation energy, eV per atom: -1.3210
Total magnetization, μB per formula unit: 0.000

Entry 6:
# YIrIO2

Crystalline YIrIO2 at its relaxed geometry (PBE, Alexandria).

```
YIrIO2
1.0
4.1873 0.0000 0.0000
0.0000 4.1873 0.0000
0.0000 0.0000 5.1982
Y Ir I O
1 1 1 2
direct
0.0000 0.0000 0.0000 Y
0.5000 0.5000 0.5000 Ir
0.5000 0.5000 0.0000 I
0.0000 0.5000 0.5000 O
0.5000 0.0000 0.5000 O
```

Computed properties:
Raw formation energy, eV per atom: -0.3231
Energy above the lowest structure with this stoichiometry, meV/atom: 97
Total magnetization, μB per formula unit: 0.590

Entry 7:
# CaSm2Hg

Crystalline CaSm2Hg at its relaxed geometry (PBE, Alexandria).

```
CaSm2Hg
1.0
1.8202 1.0509 11.9171
-1.8202 1.0509 11.9171
0.0000 -2.1018 11.9171
Ca Sm Hg
1 2 1
direct
0.0000 0.0000 0.0000 Ca
0.0986 0.0986 0.0986 Sm
0.9014 0.9014 0.9014 Sm
0.5000 0.5000 0.5000 Hg
```

Computed properties:
Energy above the lowest structure with this stoichiometry, meV/atom: 191
Total magnetization, μB per formula unit: 0.000
ΔE_f, eV/atom: 0.032

Entry 8:
# LaCS2

Crystalline LaCS2 at its relaxed geometry (PBE, Alexandria).

```
LaCS2
1.0
2.1566 1.2451 6.3411
-2.1566 1.2451 6.3411
0.0000 -2.4903 6.3411
La C S
1 1 2
direct
0.0000 0.0000 0.0000 La
0.5000 0.5000 0.5000 C
0.4147 0.4147 0.4147 S
0.5853 0.5853 0.5853 S
```

Computed properties:
Raw formation energy, eV per atom: -0.0431
Total magnetization, μB per formula unit: 0.779

Entry 9:
# LaTbSbO2

Crystalline LaTbSbO2 at its relaxed geometry (PBE, Alexandria).

```
LaTbSbO2
1.0
-1.9818 1.9818 6.8871
1.9818 -1.9818 6.8871
1.9818 1.9818 -6.8871
La Tb Sb O
1 1 1 2
direct
0.0000 0.0000 0.0000 La
0.3282 0.3282 0.0000 Tb
0.6684 0.6684 0.0000 Sb
0.4076 0.9076 0.5000 O
0.9076 0.4076 0.5000 O
```

Computed properties:
Raw formation energy, eV per atom: -2.6968
Total magnetization, μB per formula unit: 0.000

Entry 10:
# MnAlOs2

Crystalline MnAlOs2 at its relaxed geometry (PBE, Alexandria).

```
MnAlOs2
1.0
1.4535 -2.3168 0.0000
1.4535 2.3168 0.0000
0.0000 0.0000 8.4022
Mn Al Os
1 1 2
direct
0.0000 0.0000 0.0000 Mn
0.0000 0.0000 0.5000 Al
0.5000 0.5000 0.2497 Os
0.5000 0.5000 0.7503 Os
```

Computed properties:
Total magnetization, μB per formula unit: 3.182
ΔE_f, eV/atom: 0.095

Entry 11:
# CaBe2Ru

Crystalline CaBe2Ru at its relaxed geometry (PBE, Alexandria).

```
CaBe2Ru
1.0
3.3884 -1.9392 0.0000
3.3884 1.9392 0.0000
-2.2216 0.0000 5.0172
Ca Be Ru
1 2 1
direct
0.0000 0.0000 0.0000 Ca
0.1887 0.1887 0.5659 Be
0.8113 0.8113 0.4341 Be
0.5000 0.5000 0.5000 Ru
```

Computed properties:
Energy above the lowest structure with this stoichiometry, meV/atom: 57
Total magnetization, μB per formula unit: 0.000
ΔE_f, eV/atom: -0.075

Entry 12:
# LiSiMo2

Crystalline LiSiMo2 at its relaxed geometry (PBE, Alexandria).

```
LiSiMo2
1.0
-1.8889 1.8889 3.9427
1.8889 -1.8889 3.9427
1.8889 1.8889 -3.9427
Li Si Mo
1 1 2
direct
0.0000 0.0000 0.0000 Li
0.5000 0.5000 0.0000 Si
0.2500 0.7500 0.5000 Mo
0.7500 0.2500 0.5000 Mo
```

Computed properties:
Raw formation energy, eV per atom: 0.0590
Total magnetization, μB per formula unit: 0.000

Entry 13:
# GaSnH

Crystalline GaSnH at its relaxed geometry (PBE, Alexandria).

```
GaSnH
1.0
7.2166 0.0000 0.0000
0.0000 4.6227 0.0000
0.0000 0.0000 7.1571
Ga Sn H
4 4 4
direct
0.1105 0.2500 0.0217 Ga
0.3895 0.7500 0.5217 Ga
0.6105 0.2500 0.4783 Ga
0.8895 0.7500 0.9783 Ga
0.2175 0.2500 0.3875 Sn
0.2825 0.7500 0.8875 Sn
0.7175 0.2500 0.1125 Sn
0.7825 0.7500 0.6125 Sn
0.0761 0.2500 0.5910 H
0.4239 0.7500 0.0910 H
0.5761 0.2500 0.9090 H
0.9239 0.7500 0.4090 H
```

Computed properties:
Energy above the lowest structure with this stoichiometry, meV/atom: 20
Total magnetization, μB per formula unit: 0.000